No. 1
Compound: Mg2CuWO6
Source: Alexandria via LeMat-Bulk
Functional: meta-GGA SCAN
Structure: single point on PBEsol structure

Calculated values
polymorph energy (0 for the lowest one)	9	meV/atom
raw formation energy	-217.2	kJ/mol of atoms

The structure in POSCAR format:
```
Mg2CuWO6
1.0
4.972 0.000 -0.015
0.000 5.125 0.000
-0.173 0.000 8.236
W O Cu Mg
2 12 2 4
Direct
0.500 0.000 0.500 W
0.000 0.500 0.000 W
0.149 0.608 0.204 O
0.184 0.806 0.544 O
0.816 0.194 0.456 O
0.649 0.892 0.704 O
0.186 0.794 0.894 O
0.684 0.694 0.044 O
0.314 0.294 0.606 O
0.814 0.206 0.106 O
0.351 0.108 0.296 O
0.851 0.392 0.796 O
0.686 0.706 0.394 O
0.316 0.306 0.956 O
0.000 0.500 0.500 Cu
0.500 0.000 0.000 Cu
0.021 0.048 0.725 Mg
0.479 0.548 0.775 Mg
0.979 0.952 0.275 Mg
0.521 0.452 0.225 Mg
```

***

No. 2
Compound: FeCuBr
Source: Alexandria via LeMat-Bulk
Functional: meta-GGA SCAN
Structure: single point on PBEsol structure

Calculated values
density of states at the Fermi level	2.29	states/eV/f.u.
raw formation energy	48.6	kJ/mol of atoms

The structure in POSCAR format:
```
FeCuBr
1.0
0.280 -1.375 2.648
2.983 0.027 -0.293
-1.435 5.404 1.258
Cu Fe Br
1 1 1
Direct
0.694 0.694 0.387 Cu
0.330 0.330 0.660 Fe
0.977 0.977 0.953 Br
```

***

No. 3
Compound: BeCd2Hg
Source: Alexandria via LeMat-Bulk
Functional: meta-GGA SCAN
Structure: single point on PBEsol structure

Calculated values
polymorph energy (0 for the lowest one)	63	meV/atom
density of states at the Fermi level	1.23	states/eV/f.u.
formation energy	0.2815	eV/atom

The structure in POSCAR format:
```
BeCd2Hg
1.0
2.835 0.000 0.000
-1.418 4.997 0.013
0.000 -2.148 5.227
Cd Be Hg
2 1 1
Direct
0.778 0.556 0.779 Cd
0.222 0.444 0.221 Cd
0.500 0.000 0.000 Be
0.000 0.000 0.500 Hg
```

***

| no. | VASP energy (eV/atom) |
| --- | --- |
| 1 | -15.4732 |
| 2 | -17.0928 |
| 3 | -33.0555 |